A plane-wave DFT calculation with PBE-GGA was carried out for an optimized crystal structure of TcHOsAuN.

```
5
Lattice="4.8795 0.0000 -0.0001 0.0000 2.8216 0.0000 -1.8270 0.0000 4.8315" Properties=species:S:1:pos:R:3 pbc="T T T"
Tc 3.1465 1.4108 2.3665
H -0.4378 0.0000 1.9102
Os 3.8379 0.0000 0.1846
Au 1.3915 1.4108 0.0687
N 2.0512 0.0000 3.1023
```

Total energy, eV/cell: -34.62
Energy above the most stable polymorph in this dataset, kJ per mole of atoms: 5.4
Space group: Pm, No. 6